BMoF2: relaxed, PBE with a Hubbard U.

The space group is R-3m (No. 166, hexagonal axes) and the conventional cell measures 2.8067, 2.8067 and 25.0148 Å, with angles of 90.00, 90.00 and 120.00 degrees. The inequivalent atoms are B at (0.0000, 0.0000, 0.0000), Mo at (0.0000, 0.0000, 0.5000) and F at (0.0000, 0.0000, 0.4226).

The total moment comes out at 1.84 μB/f.u. The crystal system is trigonal. The offset from the most stable computed form is 101.4 meV/atom. As for the density of states at the Fermi level: 0.386 states/eV/atom. Its volume is 14.222 A^3/atom.